Entry 1:
RbHfSe2 after structural relaxation, computed with GGA-PBE.

```
8
Lattice="-3.966 3.966 4.385 3.966 -3.966 4.385 3.966 3.966 -4.385" Properties=species:S:1:pos:R:3 pbc="T T T"
Rb 0.000 0.000 0.000
Rb 0.000 3.966 2.192
Hf 3.966 0.000 2.192
Hf 0.000 0.000 4.385
Se 1.983 -1.235 3.288
Se 2.732 1.983 1.096
Se 1.983 5.201 -1.096
Se 1.235 1.983 5.481
```

Summary:
Electronic total energy, eV/cell: -43.719
ΔE_f (raw), eV/atom: -0.992



Entry 2:
Rb2HfSe after structural relaxation, computed with GGA-PBE.

```
8
Lattice="-6.462 6.462 2.558 6.462 -6.462 2.558 6.462 6.462 -2.558" Properties=species:S:1:pos:R:3 pbc="T T T"
Rb 1.198 3.231 0.640
Rb -3.231 5.264 1.919
Rb -1.198 9.693 0.640
Rb 3.231 7.660 1.919
Hf 6.462 0.000 1.279
Hf 0.000 0.000 2.558
Se 0.000 0.000 0.000
Se 0.000 6.462 1.279
```

Summary:
Electronic total energy, eV/cell: -30.106
ΔE_f (raw), eV/atom: 0.080



Entry 3:
RbHfSe2 after structural relaxation, computed with GGA-PBE.

```
4
Lattice="0.000 3.609 3.609 3.609 0.000 3.609 3.609 3.609 0.000" Properties=species:S:1:pos:R:3 pbc="T T T"
Rb 0.000 0.000 0.000
Hf 3.609 3.609 3.609
Se 1.805 1.805 1.805
Se 5.414 5.414 5.414
```

Summary:
Electronic total energy, eV/cell: -19.643
ΔE_f (raw), eV/atom: -0.438



Entry 4:
RbHfSe3 after structural relaxation, computed with GGA-PBE.

```
10
Lattice="8.871 -1.962 0.000 8.871 1.962 0.000 -4.924 0.000 8.928" Properties=species:S:1:pos:R:3 pbc="T T T"
Rb 0.501 0.000 2.486
Rb 12.317 0.000 6.442
Hf 4.609 0.000 1.712
Hf 8.209 0.000 7.216
Se -2.078 0.000 8.566
Se 0.592 0.000 5.968
Se 6.732 0.000 3.319
Se 6.086 0.000 5.609
Se 12.226 0.000 2.960
Se 14.896 0.000 0.362
```

Summary:
Electronic total energy, eV/cell: -54.458
ΔE_f (raw), eV/atom: -1.171



Entry 5:
Rb5Hf2Se6 after structural relaxation, computed with GGA-PBE.

```
26
Lattice="6.885 -4.379 0.000 6.885 4.379 0.000 -3.780 0.000 17.722" Properties=species:S:1:pos:R:3 pbc="T T T"
Rb 4.049 3.107 13.292
Rb 6.157 2.288 0.017
Rb 3.664 0.968 4.840
Rb 5.722 2.288 8.844
Rb 1.774 -0.968 13.701
Rb 8.215 0.968 4.021
Rb 4.266 -2.288 8.878
Rb 6.324 -0.968 12.882
Rb 3.832 -2.288 17.705
Rb 5.939 -3.107 4.431
Hf 1.594 1.155 10.130
Hf 3.484 -1.155 1.269
Hf 6.504 1.155 16.453
Hf 8.394 -1.155 7.592
Se -0.450 0.321 11.341
Se 1.428 0.612 7.593
Se 1.440 -0.321 2.480
Se -0.463 -0.612 16.454
Se 3.730 0.313 11.118
Se 5.620 -0.313 2.257
Se 4.368 0.313 15.466
Se 6.259 -0.313 6.605
Se 10.451 0.612 1.268
Se 8.548 0.321 15.243
Se 8.561 -0.612 10.129
Se 10.439 -0.321 6.382
```

Summary:
Electronic total energy, eV/cell: -124.684
ΔE_f (raw), eV/atom: -1.284



Entry 6:
RbHf3Se after structural relaxation, computed with GGA-PBE.

```
5
Lattice="5.156 0.000 0.000 0.000 5.156 0.000 0.000 0.000 5.156" Properties=species:S:1:pos:R:3 pbc="T T T"
Rb 0.000 0.000 0.000
Hf 0.000 2.578 2.578
Hf 2.578 0.000 2.578
Hf 2.578 2.578 0.000
Se 2.578 2.578 2.578
```

Summary:
Electronic total energy, eV/cell: -31.143
ΔE_f (raw), eV/atom: 0.634



Entry 7:
RbHf6Se12 after structural relaxation, computed with GGA-PBE.

```
19
Lattice="6.539 3.775 3.156 -6.539 3.775 3.156 0.000 -7.551 3.156" Properties=species:S:1:pos:R:3 pbc="T T T"
Rb 0.000 0.000 0.000
Hf 0.000 -2.945 3.740
Hf -2.551 1.473 3.740
Hf -2.551 -1.473 5.728
Hf 2.551 1.473 3.740
Hf 2.551 -1.473 5.728
Hf 0.000 2.945 5.728
Se -2.466 -4.272 4.734
Se -4.933 0.000 4.734
Se -1.757 -1.014 3.241
Se 1.757 -1.014 3.241
Se 0.000 2.029 3.241
Se 2.466 -4.272 4.734
Se -2.466 4.272 4.734
Se 0.000 -2.029 6.227
Se -1.757 1.014 6.227
Se 1.757 1.014 6.227
Se 4.933 0.000 4.734
Se 2.466 4.272 4.734
```

Summary:
Electronic total energy, eV/cell: -121.931
ΔE_f (raw), eV/atom: -1.023



Entry 8:
RbHfSe3 after structural relaxation, computed with GGA-PBE.

```
10
Lattice="3.510 2.027 7.725 -3.510 2.027 7.725 0.000 -4.053 7.725" Properties=species:S:1:pos:R:3 pbc="T T T"
Rb 0.000 0.000 2.941
Rb 0.000 0.000 20.233
Hf 0.000 0.000 7.750
Hf 0.000 0.000 15.424
Se -1.765 -1.019 9.468
Se 0.000 -2.038 13.706
Se -1.765 1.019 13.706
Se 1.765 -1.019 9.468
Se 0.000 2.038 9.468
Se 1.765 1.019 13.706
```

Summary:
Electronic total energy, eV/cell: -53.608
ΔE_f (raw), eV/atom: -1.086



Entry 9:
RbHf3Se after structural relaxation, computed with GGA-PBE.

```
5
Lattice="5.091 0.000 0.000 0.000 5.091 0.000 0.000 0.000 5.091" Properties=species:S:1:pos:R:3 pbc="T T T"
Rb 0.000 0.000 0.000
Hf 0.000 0.000 2.546
Hf 0.000 2.546 0.000
Hf 2.546 0.000 0.000
Se 2.546 2.546 2.546
```

Summary:
Electronic total energy, eV/cell: -22.645
ΔE_f (raw), eV/atom: 2.333



Entry 10:
Rb8HfSe6 after structural relaxation, computed with GGA-PBE.

```
30
Lattice="10.453 0.000 0.000 0.000 9.243 0.000 0.000 0.000 12.938" Properties=species:S:1:pos:R:3 pbc="T T T"
Rb 0.000 1.411 0.000
Rb 0.000 1.633 6.732
Rb 1.803 4.807 2.153
Rb 1.899 6.234 11.189
Rb 2.062 8.702 3.155
Rb 3.164 0.541 9.624
Rb 3.327 3.009 4.720
Rb 3.423 4.436 8.622
Rb 5.226 7.610 0.263
Rb 5.226 7.832 6.469
Rb 7.029 4.436 8.622
Rb 7.125 3.009 4.720
Rb 7.289 0.541 9.624
Rb 8.390 8.702 3.155
Rb 8.554 6.234 11.189
Rb 8.650 4.807 2.153
Hf 0.000 6.335 7.216
Hf 5.226 2.908 0.747
Se 0.000 2.154 3.471
Se 0.000 4.320 8.778
Se 0.000 7.320 0.793
Se 0.000 8.286 8.863
Se 2.099 6.292 5.793
Se 3.127 2.951 12.262
Se 5.226 0.956 2.394
Se 5.226 1.923 7.262
Se 5.226 4.923 2.309
Se 5.226 7.089 9.940
Se 7.326 2.951 12.262
Se 8.353 6.292 5.793
```

Summary:
Electronic total energy, eV/cell: -111.831
ΔE_f (raw), eV/atom: -1.154



Entry 11:
RbHfSe3 after structural relaxation, computed with GGA-PBE.

```
5
Lattice="5.445 0.000 0.000 0.000 5.445 0.000 0.000 0.000 5.445" Properties=species:S:1:pos:R:3 pbc="T T T"
Rb 0.000 0.000 0.000
Hf 2.723 2.723 2.723
Se 0.000 0.000 2.723
Se 0.000 2.723 0.000
Se 2.723 0.000 0.000
```

Summary:
Electronic total energy, eV/cell: -14.913
ΔE_f (raw), eV/atom: 1.292



Entry 12:
Rb2Hf3Se8 after structural relaxation, computed with GGA-PBE.

```
13
Lattice="8.801 -3.822 0.000 8.801 3.822 0.000 -1.816 0.000 6.375" Properties=species:S:1:pos:R:3 pbc="T T T"
Rb 3.955 0.000 1.182
Rb 11.831 0.000 5.193
Hf 7.893 1.972 3.188
Hf 8.801 0.000 0.000
Hf 7.893 -1.972 3.188
Se 0.863 0.000 2.646
Se 6.962 1.779 0.698
Se 8.824 1.779 5.677
Se 6.085 0.000 3.853
Se 9.701 0.000 2.522
Se 6.962 -1.779 0.698
Se 8.824 -1.779 5.677
Se 14.924 0.000 3.729
```

Summary:
Electronic total energy, eV/cell: -74.882
ΔE_f (raw), eV/atom: -1.170



Entry 13:
Rb5HfSe4 after structural relaxation, computed with GGA-PBE.

```
20
Lattice="10.140 0.000 0.000 0.000 10.995 0.000 0.000 0.000 8.097" Properties=species:S:1:pos:R:3 pbc="T T T"
Rb 0.047 0.696 1.885
Rb 0.047 4.802 1.885
Rb 2.535 2.749 5.296
Rb 5.023 0.696 1.885
Rb 5.023 4.802 1.885
Rb 5.117 6.193 6.213
Rb 5.117 10.299 6.213
Rb 7.605 8.246 2.802
Rb 10.093 6.193 6.213
Rb 10.093 10.299 6.213
Hf 2.535 8.246 2.488
Hf 7.605 2.749 5.609
Se 0.454 8.246 1.026
Se 2.535 6.138 3.909
Se 2.535 10.353 3.909
Se 4.616 8.246 1.026
Se 5.524 2.749 7.071
Se 7.605 0.641 4.189
Se 7.605 4.856 4.189
Se 9.686 2.749 7.071
```

Summary:
Electronic total energy, eV/cell: -79.930
ΔE_f (raw), eV/atom: -1.124



Entry 14:
RbHfSe2 after structural relaxation, computed with GGA-PBE.

```
4
Lattice="1.941 1.120 8.202 -1.941 1.120 8.202 0.000 -2.241 8.202" Properties=species:S:1:pos:R:3 pbc="T T T"
Rb 0.000 0.000 0.000
Hf 0.000 0.000 4.173
Se 0.000 0.000 13.936
Se 0.000 0.000 18.998
```

Summary:
Electronic total energy, eV/cell: -22.814
ΔE_f (raw), eV/atom: -1.231



Entry 15:
Rb6HfSe4 after structural relaxation, computed with GGA-PBE.

```
22
Lattice="11.388 0.000 0.000 -5.694 9.862 0.000 0.000 0.000 8.436" Properties=species:S:1:pos:R:3 pbc="T T T"
Rb -2.278 5.259 0.000
Rb 0.000 2.555 2.712
Rb -3.481 8.584 2.712
Rb 2.213 1.278 6.929
Rb 2.278 5.259 0.000
Rb 0.000 9.205 0.000
Rb 5.694 0.657 4.218
Rb 3.416 4.603 4.218
Rb 3.481 8.584 2.712
Rb 9.175 1.278 6.929
Rb 5.694 7.307 6.929
Rb 7.972 4.603 4.218
Hf 0.000 6.575 5.018
Hf 5.694 3.287 0.801
Se 0.000 4.187 5.890
Se -2.067 7.768 5.890
Se 0.000 6.575 2.469
Se 3.626 2.094 1.672
Se 2.067 7.768 5.890
Se 5.694 3.287 6.687
Se 7.761 2.094 1.672
Se 5.694 5.675 1.672
```

Summary:
Electronic total energy, eV/cell: -82.203
ΔE_f (raw), eV/atom: -1.037



Entry 16:
RbHf2Se4 after structural relaxation, computed with GGA-PBE.

```
7
Lattice="9.075 -1.908 0.000 9.075 1.908 0.000 -2.190 0.000 6.106" Properties=species:S:1:pos:R:3 pbc="T T T"
Rb 0.000 0.000 0.000
Hf 3.996 0.000 1.563
Hf 11.965 0.000 4.544
Se 1.734 0.000 3.035
Se 6.206 0.000 0.012
Se 9.755 0.000 6.094
Se 14.227 0.000 3.072
```

Summary:
Electronic total energy, eV/cell: -44.446
ΔE_f (raw), eV/atom: -1.376



Entry 17:
Rb2HfSe4 after structural relaxation, computed with GGA-PBE.

```
7
Lattice="7.489 0.000 0.000 0.000 3.991 0.000 -2.881 0.000 7.877" Properties=species:S:1:pos:R:3 pbc="T T T"
Rb 0.509 0.000 2.622
Rb 4.099 0.000 5.255
Hf 3.744 1.996 0.000
Se -1.792 1.996 7.255
Se 0.907 0.000 6.058
Se 3.701 0.000 1.819
Se 6.399 1.996 0.622
```

Summary:
Electronic total energy, eV/cell: -32.688
ΔE_f (raw), eV/atom: -0.980



Entry 18:
RbHfSe3 after structural relaxation, computed with GGA-PBE.

```
5
Lattice="5.268 0.000 0.000 0.000 5.268 0.000 0.000 0.000 5.268" Properties=species:S:1:pos:R:3 pbc="T T T"
Rb 0.000 0.000 0.000
Hf 2.634 2.634 2.634
Se 0.000 2.634 2.634
Se 2.634 0.000 2.634
Se 2.634 2.634 0.000
```

Summary:
Electronic total energy, eV/cell: -26.862
ΔE_f (raw), eV/atom: -1.098



Entry 19:
RbHf2Se4 after structural relaxation, computed with GGA-PBE.

```
14
Lattice="1.997 -6.570 0.000 1.997 6.570 0.000 0.000 0.000 13.707" Properties=species:S:1:pos:R:3 pbc="T T T"
Rb 1.997 5.130 10.280
Rb 1.997 -5.130 3.427
Hf 1.997 1.696 7.722
Hf 1.997 1.696 12.839
Hf 1.997 -1.696 0.869
Hf 1.997 -1.696 5.985
Se 0.000 0.000 0.000
Se 0.000 0.000 6.854
Se 1.997 3.109 1.436
Se 1.997 3.109 5.418
Se 1.997 1.147 10.280
Se 1.997 -1.147 3.427
Se 1.997 -3.109 8.289
Se 1.997 -3.109 12.272
```

Summary:
Electronic total energy, eV/cell: -86.773
ΔE_f (raw), eV/atom: -1.225



Entry 20:
Rb4Sm3HfSe8 after structural relaxation, computed with GGA-PBE.

```
16
Lattice="4.220 2.437 8.023 -4.220 2.437 8.023 0.000 -4.873 8.023" Properties=species:S:1:pos:R:3 pbc="T T T"
Rb 0.000 0.000 0.000
Rb -2.110 -1.218 8.023
Rb -2.110 1.218 16.046
Rb 0.000 2.437 8.023
Sm -4.220 0.000 12.034
Sm -2.110 1.218 4.011
Sm 2.110 1.218 4.011
Hf 0.000 0.000 12.034
Se 0.000 0.000 5.649
Se -1.978 -1.142 13.597
Se 0.000 -2.284 10.472
Se -1.978 1.142 10.472
Se 1.978 -1.142 13.597
Se 0.000 2.284 13.597
Se 1.978 1.142 10.472
Se 0.000 0.000 18.420
```

Summary:
Electronic total energy, eV/cell: -81.355
ΔE_f (raw), eV/atom: -1.594